Compound: CaAgBr
Source: Alexandria
Functional: PBE-GGA
Structure: relaxed

Structure (POSCAR):
```
CaAgBr
1.0
4.112 0.000 0.000
-2.056 3.561 0.000
0.000 0.000 6.578
Ca Ag Br
1 1 1
Direct
0.000 0.000 0.000
0.667 0.333 0.299
0.333 0.667 0.742
```

Magnetization, μB/f.u.: 0.000
Crystal system: trigonal
Final energy, eV per atom: -3.02
Density, Mg/m³: 3.9
Space-group type: P3m1, No. 156